Entry 1:
This record from Alexandria describes crystalline YCu2As at its relaxed geometry. The functional is PBEsol.

a = 4.0074 Å, b = 4.0120 Å, c = 5.0497 Å
α = 113.41°, β = 113.38°, γ = 90.00°
Fractional positions:
Cu 0.7497 0.7497 0.4994
Cu 0.2503 0.2503 0.5006
As 0.0000 0.5000 0.0000
Y 0.5000 0.0000 0.0000

**E_form**: -32 kJ/mol of atoms
**DOS at the Fermi energy**: 1.48 states/eV/f.u.
**Space-group type**: I4/mmm
**Crystal system**: tetragonal

Entry 2:
This record from Alexandria describes crystalline Re2Ru at its relaxed geometry. The functional is PBEsol.

a = 2.7319 Å, b = 4.3687 Å, c = 7.2493 Å
α = 90.00°, β = 100.86°, γ = 90.00°
Fractional positions:
Re 0.4454 0.7500 0.8908
Re 0.2235 0.2500 0.4469
Re 0.5546 0.2500 0.1092
Re 0.7765 0.7500 0.5531
Ru 0.8901 0.2500 0.7802
Ru 0.1099 0.7500 0.2198

**E_form**: -5 kJ/mol of atoms
**Relative energy among the computed polymorphs**: 0.010 eV/atom
**DOS at the Fermi energy**: 2.38 states/eV/f.u.
**Space-group type**: Cmcm
**Crystal system**: orthorhombic

Entry 3:
This record from Alexandria describes crystalline AlHgAs at its relaxed geometry. The functional is PBEsol.

a = 4.5973 Å, b = 4.5973 Å, c = 4.5973 Å
α = 60.00°, β = 60.00°, γ = 60.00°
Fractional positions:
Hg 0.0000 0.0000 0.0000
Al 0.5000 0.5000 0.5000
As 0.2500 0.2500 0.2500

**E_form**: 19 kJ/mol of atoms
**DOS at the Fermi energy**: 1.02 states/eV/f.u.
**Space-group type**: F-43m
**Crystal system**: cubic

Entry 4:
This record from Alexandria describes crystalline CrCu2Cl at its relaxed geometry. The functional is PBEsol.

a = 2.9114 Å, b = 3.9673 Å, c = 5.5659 Å
α = 110.93°, β = 105.23°, γ = 89.82°
Site moments in Bohr magnetons follow the coordinates.
Fractional positions:
Cu 0.0000 0.5000 0.5000  0.04
Cu 0.5000 0.0000 0.5000  0.04
Cr 0.5000 0.0000 0.0000  3.52
Cl 0.0000 0.5000 0.0000  0.00

**Relative energy among the computed polymorphs**: 0.194 eV/atom
**DOS at the Fermi energy**: 1.51 states/eV/f.u.
**Space-group type**: C2/m
**Crystal system**: monoclinic

Entry 5:
This record from Alexandria describes crystalline Al4InAgSe8 at its relaxed geometry. The functional is PBEsol.

a = 6.7192 Å, b = 6.7192 Å, c = 8.0458 Å
α = 90.29°, β = 90.29°, γ = 106.47°
Fractional positions:
In 0.4936 0.5064 0.5000
Al 0.4857 0.5143 0.0000
Al 0.4895 0.9919 0.2421
Al 0.0144 0.9856 0.5000
Al 0.0081 0.5105 0.7579
Se 0.0897 0.3647 0.4941
Se 0.6391 0.3707 0.2339
Se 0.6031 0.8809 0.9890
Se 0.1596 0.8724 0.7369
Se 0.1276 0.8404 0.2631
Se 0.6353 0.9103 0.5059
Se 0.1191 0.3969 0.0110
Se 0.6293 0.3609 0.7661
Ag 0.0059 0.9941 0.0000

**Energy**: -4.509 eV per atom
**Space-group type**: C2
**Crystal system**: monoclinic

Entry 6:
This record from Alexandria describes crystalline La3In2Ga3O12 at its relaxed geometry. The functional is PBEsol.

a = 11.1840 Å, b = 11.1840 Å, c = 11.1840 Å
α = 109.47°, β = 109.47°, γ = 109.47°
Fractional positions:
O 0.5254 0.8133 0.9011
O 0.8757 0.0878 0.9011
O 0.2121 0.1867 0.0878
O 0.7121 0.0878 0.1867
O 0.4011 0.5254 0.3133
O 0.6243 0.0989 0.9122
O 0.2879 0.9122 0.8133
O 0.4746 0.2879 0.8757
O 0.3133 0.2879 0.4122
O 0.7879 0.8133 0.9122
O 0.0254 0.1243 0.7121
O 0.9122 0.3133 0.7879
O 0.9122 0.5989 0.6243
O 0.5878 0.2121 0.6867
O 0.0878 0.4011 0.3757
O 0.9746 0.8757 0.2879
O 0.5989 0.1243 0.4122
O 0.5254 0.7121 0.1243
O 0.8133 0.4011 0.0254
O 0.2121 0.0254 0.6243
O 0.3133 0.0254 0.4011
O 0.1867 0.5878 0.7121
O 0.7879 0.9746 0.3757
O 0.4746 0.1867 0.0989
O 0.4122 0.7879 0.3133
O 0.9746 0.0989 0.1867
O 0.9011 0.3133 0.5254
O 0.0989 0.4122 0.1243
O 0.5989 0.4746 0.6867
O 0.7121 0.6243 0.0254
O 0.6867 0.9746 0.5989
O 0.4122 0.6243 0.5989
O 0.4011 0.8757 0.5878
O 0.1243 0.2121 0.5254
O 0.0989 0.6867 0.4746
O 0.8133 0.4122 0.2879
O 0.0254 0.9011 0.8133
O 0.9011 0.5878 0.8757
O 0.1243 0.9122 0.0989
O 0.2879 0.3757 0.9746
O 0.8757 0.7879 0.4746
O 0.0878 0.6867 0.2121
O 0.3757 0.9011 0.0878
O 0.5878 0.3757 0.4011
O 0.6243 0.5254 0.2121
O 0.1867 0.5989 0.9746
O 0.3757 0.4746 0.7879
O 0.6867 0.7121 0.5878
In 0.5000 0.5000 0.0000
In 0.0000 0.5000 0.0000
In 0.5000 0.5000 0.5000
In 0.5000 0.0000 0.0000
In 0.0000 0.0000 0.5000
In 0.0000 0.0000 0.0000
In 0.5000 0.0000 0.5000
In 0.0000 0.5000 0.5000
Ga 0.6250 0.3750 0.2500
Ga 0.1250 0.8750 0.2500
Ga 0.7500 0.1250 0.3750
Ga 0.8750 0.1250 0.7500
Ga 0.3750 0.6250 0.7500
Ga 0.6250 0.2500 0.8750
Ga 0.2500 0.8750 0.6250
Ga 0.1250 0.2500 0.3750
Ga 0.2500 0.3750 0.1250
Ga 0.7500 0.6250 0.8750
Ga 0.3750 0.7500 0.1250
Ga 0.8750 0.7500 0.6250
La 0.6250 0.7500 0.3750
La 0.1250 0.7500 0.8750
La 0.2500 0.1250 0.8750
La 0.7500 0.3750 0.6250
La 0.3750 0.1250 0.2500
La 0.8750 0.2500 0.1250
La 0.2500 0.6250 0.3750
La 0.8750 0.6250 0.2500
La 0.7500 0.8750 0.1250
La 0.1250 0.3750 0.7500
La 0.6250 0.8750 0.7500
La 0.3750 0.2500 0.6250

**Energy**: -7.235 eV per atom
**DOS at the Fermi energy**: 0.00 states/eV/f.u.
**Space-group type**: Ia-3d
**Crystal system**: cubic

Entry 7:
This record from Alexandria describes crystalline LiGeTe2 at its relaxed geometry. The functional is PBEsol.

a = 7.1195 Å, b = 9.0098 Å, c = 11.2325 Å
α = 76.27°, β = 77.42°, γ = 71.02°
Fractional positions:
Te 0.3098 0.7987 0.8990
Te 0.2556 0.1486 0.5911
Te 0.7274 0.3297 0.4168
Te 0.2511 0.3367 0.9294
Te 0.2726 0.6703 0.5832
Te 0.7360 0.9865 0.7456
Te 0.2640 0.0135 0.2544
Te 0.2809 0.5165 0.2419
Te 0.6902 0.2013 0.1010
Te 0.7191 0.4835 0.7581
Te 0.7444 0.8514 0.4089
Te 0.7489 0.6633 0.0706
Ge 0.0487 0.7400 0.0959
Ge 0.0682 0.6115 0.4499
Ge 0.9318 0.3885 0.5501
Ge 0.0390 0.0384 0.7929
Ge 0.9513 0.2600 0.9041
Ge 0.9610 0.9616 0.2071
Li 0.4721 0.3211 0.6783
Li 0.5000 0.0000 0.0000
Li 0.0118 0.3489 0.1881
Li 0.0000 0.0000 0.5000
Li 0.9882 0.6511 0.8119
Li 0.5279 0.6789 0.3217

**Energy**: -3.885 eV per atom
**DOS at the Fermi energy**: 0.07 states/eV/f.u.
**Space-group type**: P-1
**Crystal system**: triclinic

Entry 8:
This record from Alexandria describes crystalline SmZnRh at its relaxed geometry. The functional is PBEsol.

a = 4.0188 Å, b = 6.9155 Å, c = 8.0726 Å
α = 90.00°, β = 90.00°, γ = 90.00°
Fractional positions:
Zn 0.7500 0.3640 0.5633
Zn 0.7500 0.8640 0.9367
Zn 0.2500 0.1360 0.0633
Zn 0.2500 0.6360 0.4367
Sm 0.2500 0.0381 0.6859
Sm 0.7500 0.4619 0.1859
Sm 0.2500 0.5381 0.8141
Sm 0.7500 0.9619 0.3141
Rh 0.2500 0.2574 0.3785
Rh 0.2500 0.7574 0.1215
Rh 0.7500 0.2426 0.8785
Rh 0.7500 0.7426 0.6215

**E_form**: -63 kJ/mol of atoms
**DOS at the Fermi energy**: 1.29 states/eV/f.u.
**Space-group type**: Pnma
**Crystal system**: orthorhombic

Entry 9:
This record from Alexandria describes crystalline CaP4H2O12 at its relaxed geometry. The functional is PBEsol.

a = 5.7394 Å, b = 8.8662 Å, c = 9.6677 Å
α = 90.00°, β = 90.00°, γ = 92.51°
Fractional positions:
P 0.2895 0.3034 0.7874
P 0.6166 0.0627 0.7219
P 0.7105 0.1966 0.2874
P 0.3834 0.4373 0.2219
P 0.3834 0.9373 0.2781
P 0.7105 0.6966 0.2126
P 0.2895 0.8034 0.7126
P 0.6166 0.5627 0.7781
Ca 0.0000 0.5000 0.5000
Ca 0.0000 0.0000 0.0000
O 0.1399 0.3873 0.6926
O 0.4969 0.0887 0.3451
O 0.8601 0.6127 0.3074
O 0.8601 0.1127 0.1926
O 0.1805 0.8923 0.3738
O 0.1805 0.3923 0.1262
O 0.4173 0.1801 0.6964
O 0.8195 0.6077 0.8738
O 0.5827 0.8199 0.3036
O 0.6765 0.5443 0.6306
O 0.8119 0.2698 0.4166
O 0.6765 0.0443 0.8694
O 0.5827 0.3199 0.1964
O 0.3235 0.4557 0.3694
O 0.4173 0.6801 0.8036
O 0.3235 0.9557 0.1306
O 0.8119 0.7698 0.0834
O 0.1399 0.8873 0.8074
O 0.1881 0.2302 0.9166
O 0.1881 0.7302 0.5834
O 0.5031 0.4113 0.8451
O 0.4969 0.5887 0.1549
O 0.5031 0.9113 0.6549
O 0.8195 0.1077 0.6262
H 0.8057 0.1745 0.5360
H 0.8057 0.6745 0.9640
H 0.1943 0.8255 0.4640
H 0.1943 0.3255 0.0360

**Energy**: -7.152 eV per atom
**DOS at the Fermi energy**: 0.00 states/eV/f.u.
**Space-group type**: P2_1/c
**Crystal system**: monoclinic

Entry 10:
This record from Alexandria describes crystalline TaFeP2 at its relaxed geometry. The functional is PBEsol.

a = 3.1170 Å, b = 3.1170 Å, c = 5.3344 Å
α = 90.00°, β = 90.00°, γ = 90.00°
Site moments in Bohr magnetons follow the coordinates.
Fractional positions:
P 0.5000 0.5000 0.2512  -0.01
P 0.0000 0.0000 0.9651  -0.01
Fe 0.5000 0.5000 0.8167  1.29
Ta 0.0000 0.0000 0.4670  -0.05

**E_form**: -51 kJ/mol of atoms
**Relative energy among the computed polymorphs**: 0.000 eV/atom
**DOS at the Fermi energy**: 1.63 states/eV/f.u.
**Space-group type**: P4mm
**Crystal system**: tetragonal

Entry 11:
This record from Alexandria describes crystalline ZrTe2Pt at its relaxed geometry. The functional is PBEsol.

a = 4.0323 Å, b = 4.7969 Å, c = 5.5504 Å
α = 112.98°, β = 108.27°, γ = 96.61°
Fractional positions:
Zr 0.5000 0.0000 0.0000
Pt 0.0000 0.5000 0.0000
Te 0.5000 0.5000 0.5000
Te 0.0000 0.0000 0.5000

**Relative energy among the computed polymorphs**: 0.317 eV/atom
**DOS at the Fermi energy**: 2.76 states/eV/f.u.
**Space-group type**: C2/m
**Crystal system**: monoclinic

Entry 12:
This record from Alexandria describes crystalline SrTcRh3 at its relaxed geometry. The functional is PBEsol.

a = 4.6759 Å, b = 4.6759 Å, c = 4.6759 Å
α = 90.00°, β = 90.00°, γ = 90.00°
Fractional positions:
Rh 0.5000 0.0000 0.0000
Rh 0.0000 0.5000 0.0000
Rh 0.0000 0.0000 0.5000
Tc 0.0000 0.0000 0.0000
Sr 0.5000 0.5000 0.5000

**E_form**: 53 kJ/mol of atoms
**Relative energy among the computed polymorphs**: 0.000 eV/atom
**DOS at the Fermi energy**: 3.58 states/eV/f.u.
**Space-group type**: Pm-3m
**Crystal system**: cubic

Entry 13:
This record from Alexandria describes crystalline La2WO6 at its relaxed geometry. The functional is PBEsol.

a = 5.5607 Å, b = 7.8613 Å, c = 11.8264 Å
α = 102.93°, β = 90.00°, γ = 90.00°
Fractional positions:
La 0.2012 0.8006 0.4248
La 0.7988 0.1994 0.5752
La 0.3164 0.5000 0.7500
La 0.7347 0.0000 0.2500
La 0.2653 0.0000 0.7500
La 0.2012 0.1994 0.0752
La 0.6836 0.5000 0.2500
La 0.7988 0.8006 0.9248
O 0.0342 0.9320 0.1031
O 0.8479 0.6425 0.4597
O 0.3595 0.5005 0.3898
O 0.9658 0.9320 0.6031
O 0.4566 0.7776 0.2635
O 0.1521 0.3575 0.5403
O 0.8479 0.3575 0.0403
O 0.0342 0.0680 0.3969
O 0.3595 0.4995 0.1102
O 0.5026 0.1381 0.9280
O 0.9963 0.2909 0.2749
O 0.4566 0.2224 0.2365
O 0.0037 0.2909 0.7749
O 0.4974 0.8619 0.0720
O 0.1521 0.6425 0.9597
O 0.5026 0.8619 0.5720
O 0.6405 0.5005 0.8898
O 0.4974 0.1381 0.4280
O 0.5434 0.2224 0.7365
O 0.9963 0.7091 0.2251
O 0.5434 0.7776 0.7635
O 0.6405 0.4995 0.6102
O 0.9658 0.0680 0.8969
O 0.0037 0.7091 0.7251
W 0.7517 0.7241 0.6140
W 0.2483 0.7241 0.1140
W 0.7517 0.2759 0.8860
W 0.2483 0.2759 0.3860

**Energy**: -9.254 eV per atom
**DOS at the Fermi energy**: 0.00 states/eV/f.u.
**Space-group type**: P2/c
**Crystal system**: monoclinic

Entry 14:
This record from Alexandria describes crystalline ZnMo2O4 at its relaxed geometry. The functional is PBEsol.

a = 5.8954 Å, b = 5.8964 Å, c = 15.2961 Å
α = 90.02°, β = 90.00°, γ = 119.99°
Site moments in Bohr magnetons follow the coordinates.
Fractional positions:
Mo 0.6668 0.3336 0.0259  2.36
Mo 0.2997 0.1509 0.8218  0.02
Mo 0.4832 0.9664 0.4982  0.00
Mo 0.8511 0.7022 0.8218  0.02
Mo 0.3336 0.6672 0.3616  0.01
Mo 0.6673 0.3345 0.6901  -0.01
Mo 0.6213 0.8107 0.1684  0.38
Mo 0.4832 0.5180 0.4982  0.00
Mo 0.8511 0.1509 0.8218  0.02
Mo 0.0348 0.5180 0.4982  0.00
Mo 0.1894 0.8107 0.1684  0.38
Mo 0.1893 0.3786 0.1684  0.39
O 0.1566 0.8444 0.4203  0.00
O 0.3338 0.6676 0.5861  0.00
O 0.8364 0.6728 0.0940  0.00
O 0.8146 0.1869 0.5818  0.00
O 0.3272 0.1634 0.0941  0.00
O 0.0120 0.5069 0.7583  0.00
O 0.0001 0.0001 0.2298  0.00
O 0.1566 0.3132 0.4204  0.00
O 0.6670 0.3340 0.4317  0.00
O 0.6675 0.3350 0.8962  0.01
O 0.1521 0.3041 0.9123  0.01
O 0.3722 0.1869 0.5818  0.00
O 0.3333 0.6665 0.0755  0.00
O 0.4950 0.9899 0.7582  0.00
O 0.8362 0.1634 0.0941  0.00
O 0.1523 0.8499 0.9123  0.01
O 0.0006 0.0012 0.7314  0.00
O 0.4949 0.5069 0.7583  0.00
O 0.0318 0.5160 0.2639  0.00
O 0.6878 0.8444 0.4203  0.00
O 0.6976 0.8499 0.9123  0.01
O 0.4843 0.9686 0.2639  0.00
O 0.8146 0.6293 0.5818  0.00
O 0.4842 0.5160 0.2639  0.00
Zn 0.0004 0.0009 0.0045  0.00
Zn 0.0004 0.0007 0.3521  0.01
Zn 0.0005 0.0010 0.6041  0.00
Zn 0.6668 0.3336 0.3029  0.01
Zn 0.3339 0.6678 0.9456  0.01
Zn 0.3339 0.6679 0.7039  0.00

**Relative energy among the computed polymorphs**: 0.000 eV/atom
**DOS at the Fermi energy**: 0.76 states/eV/f.u.
**Space-group type**: Cm
**Crystal system**: monoclinic

Entry 15:
This record from Alexandria describes crystalline CdHg at its relaxed geometry. The functional is PBEsol.

a = 3.0700 Å, b = 3.0700 Å, c = 11.1334 Å
α = 90.00°, β = 90.00°, γ = 120.00°
Fractional positions:
Cd 0.6667 0.3333 0.9450
Cd 0.3333 0.6667 0.4450
Hg 0.6667 0.3333 0.6840
Hg 0.3333 0.6667 0.1840

**E_form**: 3 kJ/mol of atoms
**DOS at the Fermi energy**: 0.61 states/eV/f.u.
**Space-group type**: P6_3mc
**Crystal system**: hexagonal

Entry 16:
This record from Alexandria describes crystalline SrZn2Co2 at its relaxed geometry. The functional is PBEsol.

a = 4.1805 Å, b = 4.1805 Å, c = 5.6406 Å
α = 111.75°, β = 111.75°, γ = 90.00°
Site moments in Bohr magnetons follow the coordinates.
Fractional positions:
Co 0.6137 0.6137 0.2275  0.83
Co 0.3863 0.3863 0.7725  0.83
Sr 0.0000 0.0000 0.0000  -0.04
Zn 0.7500 0.2500 0.5000  -0.04
Zn 0.2500 0.7500 0.5000  -0.04

**E_form**: 14 kJ/mol of atoms
**Relative energy among the computed polymorphs**: 0.000 eV/atom
**DOS at the Fermi energy**: 7.01 states/eV/f.u.
**Space-group type**: I4/mmm
**Crystal system**: tetragonal

Entry 17:
This record from Alexandria describes crystalline MgHg3As at its relaxed geometry. The functional is PBEsol.

a = 5.2709 Å, b = 5.2709 Å, c = 5.2709 Å
α = 90.00°, β = 90.00°, γ = 90.00°
Fractional positions:
Hg 0.5000 0.0000 0.0000
Hg 0.0000 0.5000 0.0000
Hg 0.0000 0.0000 0.5000
Mg 0.5000 0.5000 0.5000
As 0.0000 0.0000 0.0000

**E_form**: 27 kJ/mol of atoms
**DOS at the Fermi energy**: 0.83 states/eV/f.u.
**Space-group type**: Pm-3m
**Crystal system**: cubic